No. 1
A plane-wave DFT calculation with PBE was carried out for a relaxed Pm4GaSeI2 crystal.

Structure (POSCAR):
```
Pm4GaSeI2
1.0
7.399 0.000 0.000
0.000 4.343 0.000
-2.559 0.000 7.621
Pm Ga Se I
4 1 1 2
Cartesian
1.178 0.000 1.525
-0.114 2.172 6.121
4.954 2.172 1.500
3.662 0.000 6.096
0.000 2.172 0.000
3.699 0.000 0.000
-1.280 0.000 3.810
2.420 2.172 3.810
```

Energy relative to the elements, uncorrected in eV/atom: -1.09
V in Å³/f.u.: 244.9

No. 2
A plane-wave DFT calculation with PBE was carried out for a relaxed Pm8GaSe3I4 crystal.

Structure (POSCAR):
```
Pm8GaSe3I4
1.0
4.293 2.479 7.604
-4.293 2.479 7.604
0.000 -4.957 7.604
Pm Ga Se I
8 1 3 4
Cartesian
0.000 0.000 5.242
-2.138 -1.234 12.888
0.000 -2.468 9.925
-2.138 1.234 9.925
2.138 -1.234 12.888
0.000 2.468 12.888
2.138 1.234 9.925
0.000 0.000 17.571
0.000 0.000 11.407
-4.293 0.000 11.407
-2.147 1.239 3.802
2.147 1.239 3.802
0.000 0.000 0.000
-2.147 -1.239 7.604
-2.147 1.239 15.209
0.000 2.479 7.604
```

Energy relative to the elements, uncorrected in eV/atom: -1.22
V in Å³/f.u.: 485.5

No. 3
A plane-wave DFT calculation with PBE was carried out for a relaxed Pm4GaSe2I crystal.

Structure (POSCAR):
```
Pm4GaSe2I
1.0
7.414 0.000 0.000
0.000 4.192 0.000
-2.406 0.000 7.272
Pm Ga Se I
4 1 2 1
Cartesian
1.184 0.000 1.569
-0.030 2.096 5.569
5.038 2.096 1.703
3.824 0.000 5.703
3.707 0.000 0.000
-1.203 0.000 3.636
0.000 2.096 0.000
2.504 2.096 3.636
```

Energy relative to the elements, uncorrected in eV/atom: -1.29
V in Å³/f.u.: 226.0

No. 4
A plane-wave DFT calculation with PBE was carried out for a relaxed Pm6Ga2SeI3 crystal.

Structure (POSCAR):
```
Pm6Ga2SeI3
1.0
3.745 -6.483 0.000
3.745 6.483 0.000
-2.491 0.000 7.605
Pm Ga Se I
6 2 1 3
Cartesian
-0.016 2.190 6.067
1.206 0.000 1.529
-0.016 -2.190 6.067
5.014 2.190 1.538
3.792 0.000 6.076
5.014 -2.190 1.538
3.745 4.316 0.000
3.745 -4.316 0.000
3.745 0.000 0.000
-1.245 0.000 3.803
2.499 2.161 3.803
2.499 -2.161 3.803
```

Energy relative to the elements, uncorrected in eV/atom: -1.00
V in Å³/f.u.: 369.2

No. 5
A plane-wave DFT calculation with PBE was carried out for a relaxed Pm8GaSi3I4 crystal.

Structure (POSCAR):
```
Pm8GaSi3I4
1.0
4.324 2.497 7.601
-4.324 2.497 7.601
0.000 -4.993 7.601
Pm Ga Si I
8 1 3 4
Cartesian
0.000 0.000 5.301
-2.172 -1.254 12.923
0.000 -2.508 9.880
-2.172 1.254 9.880
2.172 -1.254 12.923
0.000 2.508 12.923
2.172 1.254 9.880
0.000 0.000 17.501
0.000 0.000 11.401
-4.324 0.000 11.401
-2.162 1.248 3.800
2.162 1.248 3.800
0.000 0.000 0.000
-2.162 -1.248 7.601
-2.162 1.248 15.202
0.000 2.497 7.601
```

Energy relative to the elements, uncorrected in eV/atom: -0.90
V in Å³/f.u.: 492.4

No. 6
A plane-wave DFT calculation with PBE was carried out for a relaxed Pm8Ga3SiI4 crystal.

Structure (POSCAR):
```
Pm8Ga3SiI4
1.0
4.348 2.510 7.535
-4.348 2.510 7.535
0.000 -5.021 7.535
Pm Ga Si I
8 3 1 4
Cartesian
0.000 0.000 5.348
-2.155 -1.244 12.848
0.000 -2.489 9.756
-2.155 1.244 9.756
2.155 -1.244 12.848
0.000 2.489 12.848
2.155 1.244 9.756
0.000 0.000 17.256
-4.348 0.000 11.302
-2.174 1.255 3.767
2.174 1.255 3.767
0.000 0.000 11.302
0.000 0.000 0.000
-2.174 -1.255 7.535
-2.174 1.255 15.070
0.000 2.510 7.535
```

Energy relative to the elements, uncorrected in eV/atom: -0.81
V in Å³/f.u.: 493.4

No. 7
A plane-wave DFT calculation with PBE was carried out for a relaxed Pm4GaSiI2 crystal.

Structure (POSCAR):
```
Pm4GaSiI2
1.0
7.554 0.000 0.000
0.000 4.314 0.000
-2.487 0.000 7.564
Pm Ga Si I
4 1 1 2
Cartesian
1.251 0.000 1.520
0.004 2.157 6.015
5.063 2.157 1.548
3.815 0.000 6.044
3.777 0.000 0.000
0.000 2.157 0.000
-1.244 0.000 3.782
2.533 2.157 3.782
```

Energy relative to the elements, uncorrected in eV/atom: -0.85
V in Å³/f.u.: 246.5

No. 8
A plane-wave DFT calculation with PBE was carried out for a relaxed Pm6GaTc2I3 crystal.

Structure (POSCAR):
```
Pm6GaTc2I3
1.0
3.675 -6.335 0.000
3.675 6.335 0.000
-2.429 0.000 8.051
Pm Ga Tc I
6 1 2 3
Cartesian
-0.067 2.235 6.539
1.070 0.000 1.487
-0.067 -2.235 6.539
4.988 2.235 1.511
3.850 0.000 6.564
4.988 -2.235 1.511
3.675 0.000 0.000
3.675 4.209 0.000
3.675 -4.209 0.000
-1.214 0.000 4.025
2.460 2.104 4.025
2.460 -2.104 4.025
```

Energy relative to the elements, uncorrected in eV/atom: -0.49
V in Å³/f.u.: 374.8